# 1
# CdReCl2 SCAN single point on PBEsol structure
data_CdReCl2
_chemical_formula_sum 'Cd1 Re1 Cl2'
_symmetry_space_group_name_H-M 'P 4/m m m'
_symmetry_Int_Tables_number 123
_symmetry_space_group_name_Hall '-P 4 2'
_cell_length_a 3.001
_cell_length_b 3.001
_cell_length_c 8.710
_cell_angle_alpha 90.00
_cell_angle_beta 90.00
_cell_angle_gamma 90.00
loop_
_atom_site_label
_atom_site_type_symbol
_atom_site_fract_x
_atom_site_fract_y
_atom_site_fract_z
_atom_site_occupancy
Cd1 Cd 0.000 0.000 0.000 1
Re1 Re 0.000 0.000 0.500 1
Cl1 Cl 0.500 0.500 0.334 1
# - Offset from the most stable computed form: 0.3229 eV/atom

# 2
## RbIr3N (SCAN)

Data for a PBEsol-optimized structure of RbIr3N.

The structure in CIF format:
```
data_RbIr3N
_chemical_formula_sum 'Rb1 Ir3 N1'
_symmetry_space_group_name_H-M 'P m -3 m'
_symmetry_Int_Tables_number 221
_symmetry_space_group_name_Hall '-P 4 2 3'
_cell_length_a 4.232
_cell_length_b 4.232
_cell_length_c 4.232
_cell_angle_alpha 90.00
_cell_angle_beta 90.00
_cell_angle_gamma 90.00
loop_
_atom_site_label
_atom_site_type_symbol
_atom_site_fract_x
_atom_site_fract_y
_atom_site_fract_z
_atom_site_occupancy
Rb1 Rb 0.000 0.000 0.000 1
Ir1 Ir 0.000 0.500 0.500 1
N1 N 0.500 0.500 0.500 1
```

# 3
# RhSeBr2 SCAN single point on PBEsol structure
data_RhSeBr2
_chemical_formula_sum 'Rh2 Se2 Br4'
_symmetry_space_group_name_H-M 'I m m m'
_symmetry_Int_Tables_number 71
_symmetry_space_group_name_Hall '-I 2 2'
_cell_length_a 3.132
_cell_length_b 4.560
_cell_length_c 13.001
_cell_angle_alpha 90.00
_cell_angle_beta 90.00
_cell_angle_gamma 90.00
loop_
_atom_site_label
_atom_site_type_symbol
_atom_site_fract_x
_atom_site_fract_y
_atom_site_fract_z
_atom_site_occupancy
Rh1 Rh 0.000 0.000 0.000 1
Se1 Se 0.000 0.000 0.500 1
Br1 Br 0.000 0.500 0.347 1
# - Offset from the most stable computed form: 0.3728 eV/atom

# 4
## MgCo2Si (SCAN)

Data for a PBEsol-optimized structure of MgCo2Si.

The structure in CIF format:
```
data_MgCo2Si
_chemical_formula_sum 'Mg1 Co2 Si1'
_symmetry_space_group_name_H-M 'P 4/m m m'
_symmetry_Int_Tables_number 123
_symmetry_space_group_name_Hall '-P 4 2'
_cell_length_a 3.979
_cell_length_b 3.979
_cell_length_c 2.841
_cell_angle_alpha 90.00
_cell_angle_beta 90.00
_cell_angle_gamma 90.00
loop_
_atom_site_label
_atom_site_type_symbol
_atom_site_fract_x
_atom_site_fract_y
_atom_site_fract_z
_atom_site_occupancy
Mg1 Mg 0.000 0.000 0.000 1
Co1 Co 0.000 0.500 0.500 1
Si1 Si 0.500 0.500 0.000 1
```

# 5
# OsRuCl SCAN single point on PBEsol structure
data_OsRuCl
_chemical_formula_sum 'Os4 Ru4 Cl4'
_symmetry_space_group_name_H-M 'F m m 2'
_symmetry_Int_Tables_number 42
_symmetry_space_group_name_Hall 'F 2 -2'
_cell_length_a 2.746
_cell_length_b 4.966
_cell_length_c 12.991
_cell_angle_alpha 90.00
_cell_angle_beta 90.00
_cell_angle_gamma 90.00
loop_
_atom_site_label
_atom_site_type_symbol
_atom_site_fract_x
_atom_site_fract_y
_atom_site_fract_z
_atom_site_occupancy
Os1 Os 0.000 0.000 0.000 1
Ru1 Ru 0.000 0.000 0.661 1
Cl1 Cl 0.000 0.000 0.327 1
# - Offset from the most stable computed form: 0.2968 eV/atom

# 6
## TaBe2Se (SCAN)

Data for a PBEsol-optimized structure of TaBe2Se.

The structure in CIF format:
```
data_TaBe2Se
_chemical_formula_sum 'Ta1 Be2 Se1'
_symmetry_space_group_name_H-M 'P m m m'
_symmetry_Int_Tables_number 47
_symmetry_space_group_name_Hall '-P 2 2'
_cell_length_a 3.395
_cell_length_b 3.503
_cell_length_c 4.354
_cell_angle_alpha 90.00
_cell_angle_beta 90.00
_cell_angle_gamma 90.00
loop_
_atom_site_label
_atom_site_type_symbol
_atom_site_fract_x
_atom_site_fract_y
_atom_site_fract_z
_atom_site_occupancy
Ta1 Ta 0.000 0.000 0.000 1
Be1 Be 0.000 0.500 0.500 1
Be2 Be 0.500 0.500 0.000 1
Se1 Se 0.500 0.000 0.500 1
```

Going through the records in order, we get energy relative to the elements, uncorrected values of 0.710; 1.401; 0.142; -0.193; 0.807; 0.284 eV per atom.
Going through the records in order, we get spin magnetization values of 1.4; 0.0; 0.0; 0.2; 5.4; 0.0 μB per cell.